! Al2RePb, PBEsol geometry, DFT SCAN; values from VASP
&SYSTEM
  ibrav = 0, nat = 4, ntyp = 3
/
ATOMIC_SPECIES
Al 26.98 Al.upf
Re 186.21 Re.upf
Pb 207.20 Pb.upf
CELL_PARAMETERS angstrom
-1.710 2.335 4.315
1.710 -2.335 4.315
1.710 2.335 -4.315
ATOMIC_POSITIONS angstrom
Al 0.000 0.000 0.000
Al 0.000 2.335 2.209
Re 0.000 0.000 4.543
Pb 1.710 0.000 2.246
! N(E_F) = 0.44 states/eV per atom
! Total magnetization = 0.0 μB/cell
! Crystal system = orthorhombic
! Calculated total energy = -40.116 eV per atom
! Space-group type = No. 44